Model P:
Computed, not measured: a relaxed structure of BeTl2Ru at the PBE-GGA level of DFT.

Cell lengths 3.2177, 4.1341, 5.6324 Å; angles 90.00, 95.27, 90.00 degrees
Closest atoms and distances in Å follow each position.
Fractional coordinates of all 4 atoms:
1 Be 0.0000 0.0000 0.0000  4 Tl 2.56
2 Tl 0.1490 0.5000 0.7520  2 Be 2.56, 2 Ru 2.80
3 Tl 0.8510 0.5000 0.2480  2 Be 2.56, 2 Ru 2.80
4 Ru 0.5000 0.0000 0.5000  4 Tl 2.80, 2 Be 3.11

Density   11.55 g cm⁻³
Calculated volume   18.7 A^3/atom

Model Q:
Computed, not measured: a relaxed structure of BeTl2Ru at the PBE-GGA level of DFT.

Cell lengths 5.2873, 5.2873, 5.2873 Å; angles 135.61, 135.61, 64.59 degrees
Closest atoms and distances in Å follow each position.
Fractional coordinates of all 4 atoms:
1 Be 0.0000 0.0000 0.0000  8 Tl 2.82-3.00, 4 Ru 3.00
2 Tl 0.5000 0.5000 0.0000  4 Be 2.82, 4 Tl 3.00, 4 Ru 3.00
3 Tl 0.7500 0.2500 0.5000  4 Ru 2.82, 4 Tl 3.00, 4 Be 3.00
4 Ru 0.2500 0.7500 0.5000  8 Tl 2.82-3.00, 4 Be 3.00

Density   12.08 g cm⁻³
Calculated volume   17.8 A^3/atom

Model R:
Computed, not measured: a relaxed structure of BeTl2Ru at the PBE-GGA level of DFT.

Cell lengths 6.2423, 6.2423, 4.5576 Å; angles 111.32, 111.32, 29.29 degrees
Closest atoms and distances in Å follow each position.
Fractional coordinates of all 4 atoms:
1 Be 0.0000 0.0000 0.0000  2 Ru 2.22
2 Tl 0.1679 0.1679 0.6683  4 Ru 2.79, 2 Be 2.95-2.96
3 Tl 0.3924 0.3924 0.3929  4 Be 3.02, 2 Tl 3.16, 2 Ru 3.24
4 Ru 0.6396 0.6396 0.1402  2 Be 2.22

Density   10.70 g cm⁻³
Calculated volume   20.1 A^3/atom

Model S:
Computed, not measured: a relaxed structure of BeTl2Ru at the PBE-GGA level of DFT.

Cell lengths 3.4890, 3.4890, 5.9118 Å; angles 90.00, 90.00, 90.00 degrees
Closest atoms and distances in Å follow each position.
Fractional coordinates of all 4 atoms:
1 Be 0.0000 0.0000 0.0000  8 Tl 2.86, 2 Ru 2.96
2 Tl 0.5000 0.5000 0.2446  4 Be 2.86, 2 Tl 2.89-3.02, 4 Ru 2.89
3 Tl 0.5000 0.5000 0.7554  4 Be 2.86, 2 Tl 2.89-3.02, 4 Ru 2.89
4 Ru 0.0000 0.0000 0.5000  8 Tl 2.89, 2 Be 2.96

Density   11.97 g cm⁻³
Calculated volume   18.0 A^3/atom

Which structure is most stable? model R, by 197 meV/atom over the runner-up.

Model P:
Computed, not measured: a relaxed structure of BeTl2Ru at the PBE-GGA level of DFT.

Cell lengths 4.7029, 4.7029, 3.2795 Å; angles 90.00, 90.00, 90.00 degrees
Closest atoms and distances in Å follow each position.
Fractional coordinates of all 4 atoms:
1 Be 0.0000 0.0000 0.0000  8 Tl 2.87
2 Tl 0.0000 0.5000 0.5000  4 Ru 2.87, 4 Be 2.87
3 Tl 0.5000 0.0000 0.5000  4 Ru 2.87, 4 Be 2.87
4 Ru 0.5000 0.5000 0.0000  8 Tl 2.87

Density   11.88 g cm⁻³
Calculated volume   18.1 A^3/atom

Model Q:
Computed, not measured: a relaxed structure of BeTl2Ru at the PBE-GGA level of DFT.

Cell lengths 4.7481, 4.7481, 4.7481 Å; angles 60.00, 60.00, 60.00 degrees
Closest atoms and distances in Å follow each position.
Fractional coordinates of all 4 atoms:
1 Be 0.0000 0.0000 0.0000  4 Tl 2.91, 4 Ru 2.91
2 Tl 0.5000 0.5000 0.5000  4 Tl 2.91, 4 Ru 2.91
3 Tl 0.7500 0.7500 0.7500  4 Tl 2.91, 4 Be 2.91
4 Ru 0.2500 0.2500 0.2500  4 Tl 2.91, 4 Be 2.91

Density   11.38 g cm⁻³
Calculated volume   18.9 A^3/atom

Model R:
Computed, not measured: a relaxed structure of BeTl2Ru at the PBE-GGA level of DFT.

Cell lengths 5.0704, 5.0704, 5.0704 Å; angles 131.52, 131.52, 70.98 degrees
Closest atoms and distances in Å follow each position.
Fractional coordinates of all 4 atoms:
1 Be 0.0000 0.0000 0.0000  8 Tl 2.93, 4 Ru 2.94
2 Tl 0.2500 0.7500 0.5000  4 Ru 2.93, 4 Be 2.93, 4 Tl 2.94
3 Tl 0.7500 0.2500 0.5000  4 Ru 2.93, 4 Be 2.93, 4 Tl 2.94
4 Ru 0.5000 0.5000 0.0000  8 Tl 2.93, 4 Be 2.94

Density   12.04 g cm⁻³
Calculated volume   17.9 A^3/atom

Model S:
Computed, not measured: a relaxed structure of BeTl2Ru at the PBE-GGA level of DFT.

Cell lengths 3.1987, 3.1987, 7.5276 Å; angles 90.00, 90.00, 90.00 degrees
Closest atoms and distances in Å follow each position.
Fractional coordinates of all 4 atoms:
1 Be 0.0000 0.0000 0.0000  4 Ru 2.34
2 Tl 0.0000 0.0000 0.3488  1 Be 2.63
3 Tl 0.5000 0.5000 0.7043  1 Ru 2.84, 4 Be 3.17
4 Ru 0.5000 0.5000 0.0818  4 Be 2.34

Density   11.19 g cm⁻³
Calculated volume   19.3 A^3/atom

Which structure is most stable? model S, by 474 meV/atom over the runner-up.

Model P:
Computed, not measured: a relaxed structure of BeTl3Ru at the PBE-GGA level of DFT.

Cell lengths 5.3019, 5.3019, 5.3019 Å; angles 90.00, 90.00, 90.00 degrees
Closest atoms and distances in Å follow each position.
Fractional coordinates of all 5 atoms:
1 Be 0.0000 0.0000 0.0000  12 Tl 3.75
2 Tl 0.0000 0.5000 0.5000  2 Ru 2.65
3 Tl 0.5000 0.0000 0.5000  2 Ru 2.65
4 Tl 0.5000 0.5000 0.0000  2 Ru 2.65
5 Ru 0.5000 0.5000 0.5000  6 Tl 2.65

Density   8.06 g cm⁻³
Calculated volume   29.8 A^3/atom

Model Q:
Computed, not measured: a relaxed structure of BeTl3Ru at the PBE-GGA level of DFT.

Cell lengths 4.8988, 4.8988, 4.8988 Å; angles 90.00, 90.00, 90.00 degrees
Closest atoms and distances in Å follow each position.
Fractional coordinates of all 5 atoms:
1 Be 0.0000 0.0000 0.0000  6 Tl 2.45
2 Tl 0.0000 0.0000 0.5000  2 Be 2.45
3 Tl 0.0000 0.5000 0.0000  2 Be 2.45
4 Tl 0.5000 0.0000 0.0000  2 Be 2.45
5 Ru 0.5000 0.5000 0.5000  12 Tl 3.46

Density   10.22 g cm⁻³
Calculated volume   23.5 A^3/atom

Which structure is most stable? model P, by 241 meV/atom over the runner-up.

Model P:
Computed, not measured: a relaxed structure of Be3TlRu at the PBE-GGA level of DFT.

Cell lengths 4.2930, 4.2930, 4.2930 Å; angles 90.00, 90.00, 90.00 degrees
Closest atoms and distances in Å follow each position.
Fractional coordinates of all 5 atoms:
1 Be 0.0000 0.0000 0.5000  2 Ru 2.15
2 Be 0.0000 0.5000 0.0000  2 Ru 2.15
3 Be 0.5000 0.0000 0.0000  2 Ru 2.15
4 Tl 0.5000 0.5000 0.5000  12 Be 3.04
5 Ru 0.0000 0.0000 0.0000  6 Be 2.15

Density   6.98 g cm⁻³
Calculated volume   15.8 A^3/atom

Model Q:
Computed, not measured: a relaxed structure of Be3TlRu at the PBE-GGA level of DFT.

Cell lengths 4.3958, 4.3958, 4.3958 Å; angles 90.00, 90.00, 90.00 degrees
Closest atoms and distances in Å follow each position.
Fractional coordinates of all 5 atoms:
1 Be 0.0000 0.0000 0.5000  2 Tl 2.20
2 Be 0.0000 0.5000 0.0000  2 Tl 2.20
3 Be 0.5000 0.0000 0.0000  2 Tl 2.20
4 Tl 0.0000 0.0000 0.0000  6 Be 2.20
5 Ru 0.5000 0.5000 0.5000  12 Be 3.11

Density   6.50 g cm⁻³
Calculated volume   17.0 A^3/atom

Which structure is most stable? model P, by 1075 meV/atom over the runner-up.

Model P:
Computed, not measured: a relaxed structure of TmBeRu at the PBE-GGA level of DFT.

Cell lengths 3.9724, 3.9724, 3.6771 Å; angles 90.00, 90.00, 120.00 degrees
Closest atoms and distances in Å follow each position.
Fractional coordinates of all 3 atoms:
1 Tm 0.0000 0.0000 0.0000  6 Be 2.94, 6 Ru 2.94
2 Be 0.3333 0.6667 0.5000  3 Ru 2.29
3 Ru 0.6667 0.3333 0.5000  3 Be 2.29

Density   9.22 g cm⁻³
Calculated volume   16.7 A^3/atom

Model Q:
Computed, not measured: a relaxed structure of TmBeRu at the PBE-GGA level of DFT.

Cell lengths 6.3347, 6.3347, 4.8004 Å; angles 100.93, 100.93, 31.12 degrees
Closest atoms and distances in Å follow each position.
Fractional coordinates of all 6 atoms:
1 Tm 0.1062 0.1062 0.3081  4 Be 2.77-2.92, 6 Ru 2.94-2.98
2 Tm 0.8938 0.8938 0.6919  4 Be 2.77-2.92, 6 Ru 2.94-2.98
3 Be 0.2272 0.2272 0.8777  2 Be 2.08, 2 Ru 2.29
4 Be 0.7728 0.7728 0.1223  2 Be 2.08, 2 Ru 2.29
5 Ru 0.4012 0.4012 0.1954  3 Be 2.29-2.36
6 Ru 0.5988 0.5988 0.8046  3 Be 2.29-2.36

Density   9.49 g cm⁻³
Calculated volume   16.3 A^3/atom

Model R:
Computed, not measured: a relaxed structure of TmBeRu at the PBE-GGA level of DFT.

Cell lengths 6.7845, 4.1088, 6.9443 Å; angles 90.00, 90.00, 90.00 degrees
Closest atoms and distances in Å follow each position.
Fractional coordinates of all 12 atoms:
1 Tm 0.0037 0.2500 0.1967  6 Ru 2.84-3.16, 6 Be 2.84-3.02
2 Tm 0.4963 0.7500 0.6967  6 Ru 2.84-3.16, 6 Be 2.84-3.02
3 Tm 0.5037 0.2500 0.3033  6 Ru 2.84-3.16, 6 Be 2.84-3.02
4 Tm 0.9963 0.7500 0.8033  6 Ru 2.84-3.16, 6 Be 2.84-3.02
5 Be 0.1876 0.2500 0.5921  4 Ru 2.36-2.50
6 Be 0.3124 0.7500 0.0921  4 Ru 2.36-2.50
7 Be 0.6876 0.2500 0.9079  4 Ru 2.36-2.50
8 Be 0.8124 0.7500 0.4079  4 Ru 2.36-2.50
9 Ru 0.1718 0.7500 0.4256  4 Be 2.36-2.50
10 Ru 0.3282 0.2500 0.9256  4 Be 2.36-2.50
11 Ru 0.6718 0.7500 0.0744  4 Be 2.36-2.50
12 Ru 0.8282 0.2500 0.5744  4 Be 2.36-2.50

Density   9.57 g cm⁻³
Calculated volume   16.1 A^3/atom

Which structure is most stable? model Q, by 27 meV/atom over the runner-up.